Record 1
Compound: BeAl2In
Source: Alexandria
Functional: PBE-GGA
Structure: relaxed

a = 4.318 Å, b = 4.318 Å, c = 5.823 Å
α = 100.53°, β = 100.53°, γ = 41.99°
Fractional coordinates of all 4 atoms:
1 Be 0.000 0.000 0.000
2 Al 0.265 0.265 0.812
3 Al 0.735 0.735 0.188
4 In 0.500 0.500 0.500

Computed properties:
As for the mass density: 4.1 g/cm3.

---

Record 2
Compound: Be2AlIn
Source: Alexandria
Functional: PBE-GGA
Structure: relaxed

a = 4.438 Å, b = 4.438 Å, c = 4.438 Å
α = 60.00°, β = 60.00°, γ = 60.00°
Fractional coordinates of all 4 atoms:
1 Be 0.000 0.000 0.000
2 Be 0.250 0.250 0.250
3 Al 0.500 0.500 0.500
4 In 0.750 0.750 0.750

Computed properties:
As for the mass density: 4.3 g/cm3.

---

| no. | polymorph energy (0 for the lowest one) (eV per atom) |
| --- | --- |
| 1 | 0.0460 |
| 2 | 0.4193 |